First-principles (PBE with a Hubbard U) data for a relaxed MnCrHO2 crystal, as listed in the Alexandria database.

POSCAR file:
```
MnCrHO2
1.0
-0.442 0.724 2.898
-2.076 -2.161 0.370
3.315 -4.838 3.384
Mn Cr H O
1 1 1 2
Cartesian
0.103 -4.735 2.696
2.635 -4.766 4.533
-0.040 -1.791 2.860
1.163 -5.325 6.123
0.550 -1.493 2.135
```

## Properties
For the density of states at the Fermi level, the calculation gives 0.60 states/eV/f.u. The value obtained for the energy above the lowest structure with this stoichiometry is 225 meV/atom. For the size of the total moment, the calculation gives 8.0 μB per formula unit. Its space group is Cm (8).